This record from OQMD via LeMat-Bulk describes crystalline Ba2Pm at its relaxed geometry. The functional is PBE-GGA.

As for the energy relative to the lowest polymorph listed for this composition: 972 meV/atom.

The space group is Fd-3m (No. 227, origin choice 2) and the conventional cell measures 16.082, 16.082 and 16.082 Å, with angles of 90.00, 90.00 and 90.00 degrees. The inequivalent atoms are Ba at (0.000, 0.000, 0.000) and Pm at (0.125, 0.125, 0.125).


This record from OQMD via LeMat-Bulk describes crystalline BaPm2 at its relaxed geometry. The functional is PBE-GGA.

As for the energy relative to the lowest polymorph listed for this composition: 0 meV/atom.

The space group is Fd-3m (No. 227, origin choice 2) and the conventional cell measures 10.131, 10.131 and 10.131 Å, with angles of 90.00, 90.00 and 90.00 degrees. The inequivalent atoms are Ba at (0.125, 0.125, 0.125) and Pm at (0.000, 0.000, 0.500).


This record from OQMD via LeMat-Bulk describes crystalline BaPm2 at its relaxed geometry. The functional is PBE-GGA.

As for the energy relative to the lowest polymorph listed for this composition: 2135 meV/atom.

The space group is Fd-3m (No. 227, origin choice 2) and the conventional cell measures 13.463, 13.463 and 13.463 Å, with angles of 90.00, 90.00 and 90.00 degrees. The inequivalent atoms are Ba at (0.125, 0.125, 0.125) and Pm at (0.000, 0.000, 0.000).


This record from OQMD via LeMat-Bulk describes crystalline BaPm at its relaxed geometry. The functional is PBE-GGA.

As for the energy relative to the lowest polymorph listed for this composition: 0 meV/atom.

The space group is Fm-3m (No. 225) and the conventional cell measures 7.128, 7.128 and 7.128 Å, with angles of 90.00, 90.00 and 90.00 degrees. The inequivalent atoms are Ba at (0.000, 0.000, 0.000) and Pm at (0.000, 0.000, 0.500).


This record from OQMD via LeMat-Bulk describes crystalline BaPm at its relaxed geometry. The functional is PBE-GGA.

As for the energy relative to the lowest polymorph listed for this composition: 698 meV/atom.

The space group is F-43m (No. 216) and the conventional cell measures 6.975, 6.975 and 6.975 Å, with angles of 90.00, 90.00 and 90.00 degrees. The inequivalent atoms are Ba at (0.000, 0.000, 0.000) and Pm at (0.250, 0.250, 0.750).


This record from OQMD via LeMat-Bulk describes crystalline Ba2Pm at its relaxed geometry. The functional is PBE-GGA.

As for the energy relative to the lowest polymorph listed for this composition: 0 meV/atom.

The space group is Fd-3m (No. 227, origin choice 2) and the conventional cell measures 10.545, 10.545 and 10.545 Å, with angles of 90.00, 90.00 and 90.00 degrees. The inequivalent atoms are Ba at (0.000, 0.000, 0.000) and Pm at (0.125, 0.125, 0.625).


This record from OQMD via LeMat-Bulk describes crystalline BaPmPt at its relaxed geometry. The functional is PBE-GGA.

As for the energy relative to the lowest polymorph listed for this composition: 0 meV/atom.

The space group is F-43m (No. 216) and the conventional cell measures 7.350, 7.350 and 7.350 Å, with angles of 90.00, 90.00 and 90.00 degrees. The inequivalent atoms are Ba at (0.000, 0.000, 0.000), Pm at (0.000, 0.000, 0.500) and Pt at (0.250, 0.250, 0.250).


This record from OQMD via LeMat-Bulk describes crystalline BaPmPu at its relaxed geometry. The functional is PBE-GGA.

As for the energy relative to the lowest polymorph listed for this composition: 0 meV/atom.

The space group is F-43m (No. 216) and the conventional cell measures 8.090, 8.090 and 8.090 Å, with angles of 90.00, 90.00 and 90.00 degrees. The inequivalent atoms are Ba at (0.000, 0.000, 0.000), Pm at (0.250, 0.250, 0.250) and Pu at (0.000, 0.000, 0.500).


This record from OQMD via LeMat-Bulk describes crystalline BaPmRe at its relaxed geometry. The functional is PBE-GGA.

As for the energy relative to the lowest polymorph listed for this composition: 0 meV/atom.

The space group is F-43m (No. 216) and the conventional cell measures 7.144, 7.144 and 7.144 Å, with angles of 90.00, 90.00 and 90.00 degrees. The inequivalent atoms are Ba at (0.000, 0.000, 0.000), Pm at (0.250, 0.250, 0.250) and Re at (0.000, 0.000, 0.500).


This record from OQMD via LeMat-Bulk describes crystalline BaPmS2 at its relaxed geometry. The functional is PBE-GGA.

The space group is P4/mmm (No. 123) and the conventional cell measures 4.282, 4.282 and 6.040 Å, with angles of 90.00, 90.00 and 90.00 degrees. The inequivalent atoms are Ba at (0.000, 0.000, 0.000), Pm at (0.500, 0.500, 0.500), S at (0.000, 0.000, 0.500) and S at (0.500, 0.500, 0.000).


This record from OQMD via LeMat-Bulk describes crystalline BaPmSc at its relaxed geometry. The functional is PBE-GGA.

As for the energy relative to the lowest polymorph listed for this composition: 0 meV/atom.

The space group is F-43m (No. 216) and the conventional cell measures 7.952, 7.952 and 7.952 Å, with angles of 90.00, 90.00 and 90.00 degrees. The inequivalent atoms are Ba at (0.000, 0.000, 0.000), Pm at (0.000, 0.000, 0.500) and Sc at (0.250, 0.250, 0.250).


This record from OQMD via LeMat-Bulk describes crystalline BaPm2Sn2 at its relaxed geometry. The functional is PBE-GGA.

The space group is I4/mmm (No. 139) and the conventional cell measures 5.249, 5.249 and 26.633 Å, with angles of 90.00, 90.00 and 90.00 degrees. The inequivalent atoms are Ba at (0.000, 0.000, 0.130), Pm at (0.000, 0.000, 0.307), Pm at (0.000, 0.500, 0.000), Sn at (0.000, 0.000, 0.423) and Sn at (0.000, 0.500, 0.250).


no.,DFT total energy (eV per cell),calculated volume (Å³/cell),calculated density (g cm⁻³)
1,-33.61,4159.1,1.3
2,-84.84,1040.0,5.5
3,-33.60,2440.3,2.3
4,-20.51,362.2,5.2
5,-14.93,339.3,5.5
6,-56.94,1172.5,4.8
7,-56.64,397.0,8.0
8,-72.06,529.4,6.6
9,-58.98,364.5,8.5
10,-22.50,110.7,5.2
11,-42.36,502.9,4.3
12,-87.57,733.9,6.0